Entry from the Alexandria database: MnBeAgF2 after structural relaxation (PBE with a Hubbard U). Values from VASP.

```
&SYSTEM
  ibrav = 0, nat = 5, ntyp = 4
/
ATOMIC_SPECIES
F 19.00 F.upf
Mn 54.94 Mn.upf
Be 9.01 Be.upf
Ag 107.87 Ag.upf
CELL_PARAMETERS angstrom
-2.972 2.750 1.133
1.210 -0.921 5.411
2.833 3.105 -0.105
ATOMIC_POSITIONS crystal
F 0.000 0.000 0.500
F 0.500 0.000 0.000
Mn 0.000 0.500 0.000
Be 0.500 0.500 0.500
Ag 0.000 0.000 0.000
```

Values from the calculation:
As for the total energy: -17.9 eV for the cell shown. As for the symmetry: P4/mmm, No. 123.